VASP calculation (PBE-GGA) on AlSiO after structural relaxation.

Energy relative to the elements, uncorrected in eV/atom: -1.516
Calculated volume in Å³/cell: 81.0
E in Ry/atom: -0.4574

Structure (POSCAR):
```
AlSiO
1.0
1.480 -7.233 0.000
1.480 7.233 0.000
0.000 0.000 3.783
Al Si O
2 2 2
direct
0.193 0.807 0.750
0.807 0.193 0.250
0.454 0.546 0.250
0.546 0.454 0.750
0.221 0.779 0.250
0.779 0.221 0.750
```


VASP calculation (PBE-GGA) on Ni2Pt after structural relaxation.

Energy of formation in meV per atom: -74
Calculated volume in Å³/cell: 38.0
E in Ry/atom: -0.4367

Structure (POSCAR):
```
Ni2Pt
1.0
-1.338 1.809 3.926
1.338 -1.809 3.926
1.338 1.809 -3.926
Ni Pt
2 1
direct
0.170 0.170 0.000
0.830 0.830 0.000
0.500 0.500 0.000
```


VASP calculation (PBE-GGA) on LiCu3Tc after structural relaxation.

Excess energy over the best structure of this formula in the dataset in eV per formula unit: 0.00
Energy of formation in meV per atom: 794
Calculated volume in Å³/cell: 62.7
E in Ry/atom: -0.3028

Structure (POSCAR):
```
LiCu3Tc
1.0
3.972 0.000 0.000
0.000 3.972 0.000
0.000 0.000 3.972
Li Cu Tc
1 3 1
direct
0.000 0.000 0.000
0.000 0.000 0.500
0.000 0.500 0.000
0.500 0.000 0.000
0.500 0.500 0.500
```